Record 1
Crystalline BiAs2BrO at its relaxed geometry, computed with PBE.

As for the density of states at the Fermi level: 4.612 states/eV per cell. The calculation puts the formation energy from raw total energies at 1.1483 eV per atom. As for the uncorrected energy: -14.07 eV/cell. The spin magnetization is 4.4 μB/cell. Its calculated density is 4.09 g cm⁻³.

It has space group P4/mmm (No. 123), with a = 5.628 Å, b = 5.628 Å, c = 5.823 Å, α = 90.00°, β = 90.00° and γ = 90.00°. The asymmetric unit holds Bi at (0.000, 0.000, 0.000), As at (0.000, 0.500, 0.000), Br at (0.000, 0.000, 0.500) and O at (0.500, 0.500, 0.500).

Record 2
Crystalline BiAs2BrO at its relaxed geometry, computed with PBE.

As for the density of states at the Fermi level: 3.921 states/eV per cell. The calculation puts the formation energy from raw total energies at 0.3105 eV per atom. As for the uncorrected energy: -18.26 eV/cell. The spin magnetization is 0.0 μB/cell. Its calculated density is 7.47 g cm⁻³.

It has space group P4/mmm (No. 123), with a = 4.584 Å, b = 4.584 Å, c = 4.808 Å, α = 90.00°, β = 90.00° and γ = 90.00°. The asymmetric unit holds Bi at (0.000, 0.000, 0.000), As at (0.000, 0.500, 0.500), Br at (0.500, 0.500, 0.000) and O at (0.500, 0.500, 0.500).

Record 3
Crystalline BiAs2OsBr at its relaxed geometry, computed with PBE.

As for the density of states at the Fermi level: 5.566 states/eV per cell. The calculation puts the formation energy from raw total energies at 0.5476 eV per atom. As for the uncorrected energy: -23.34 eV/cell. The spin magnetization is 0.0 μB/cell. Its calculated density is 8.57 g cm⁻³.

It has space group P4/mmm (No. 123), with a = 4.782 Å, b = 4.782 Å, c = 5.330 Å, α = 90.00°, β = 90.00° and γ = 90.00°. The asymmetric unit holds Bi at (0.000, 0.000, 0.000), As at (0.000, 0.500, 0.500), Os at (0.500, 0.500, 0.500) and Br at (0.500, 0.500, 0.000).